Entry 1:
{
  "formula": "CaTl2AgCl6",
  "functional": "PBE",
  "state": "relaxed",
  "raw_formation_energy_ev_per_atom": -1.207,
  "crystal_system": "monoclinic",
  "e_tot_ev_per_atom": -3.27,
  "lattice": [[6.937, 0.000, 0.000], [0.000, 7.325, 0.000], [-6.535, 0.000, 11.541]],
  "species": ["Ca", "Ca", "Tl", "Tl", "Tl", "Tl", "Ag", "Ag", "Cl", "Cl", "Cl", "Cl", "Cl", "Cl", "Cl", "Cl", "Cl", "Cl", "Cl", "Cl"],
  "frac_coords": [[0.000, 0.000, 0.000], [0.000, 0.500, 0.500], [0.279, 0.073, 0.758], [0.279, 0.427, 0.258], [0.721, 0.573, 0.742], [0.721, 0.927, 0.242], [0.500, 0.000, 0.500], [0.500, 0.500, 0.000], [0.147, 0.013, 0.230], [0.147, 0.487, 0.730], [0.247, 0.678, 0.047], [0.247, 0.822, 0.547], [0.369, 0.206, 0.043], [0.369, 0.294, 0.543], [0.631, 0.706, 0.457], [0.631, 0.794, 0.957], [0.753, 0.178, 0.453], [0.753, 0.322, 0.953], [0.853, 0.513, 0.270], [0.853, 0.987, 0.770]]
}


Entry 2:
{
  "formula": "NaLaAg2Sb2",
  "functional": "PBE",
  "state": "relaxed",
  "raw_formation_energy_ev_per_atom": -0.587,
  "crystal_system": "trigonal",
  "e_tot_ev_per_atom": -3.95,
  "lattice": [[4.767, 0.000, 0.000], [-2.383, 4.128, 0.000], [0.000, 0.000, 7.892]],
  "species": ["Na", "La", "Ag", "Ag", "Sb", "Sb"],
  "frac_coords": [[0.000, 0.000, 0.000], [0.000, 0.000, 0.500], [0.333, 0.667, 0.214], [0.667, 0.333, 0.786], [0.333, 0.667, 0.738], [0.667, 0.333, 0.262]]
}


Entry 3:
{
  "formula": "ReMoP2Cl",
  "functional": "PBE",
  "state": "relaxed",
  "polymorph_energy_mev_per_atom": 260,
  "raw_formation_energy_ev_per_atom": 1.274,
  "crystal_system": "tetragonal",
  "e_tot_ev_per_atom": -5.92,
  "lattice": [[4.723, 0.000, 0.000], [0.000, 4.723, 0.000], [0.000, 0.000, 4.753]],
  "species": ["Re", "Mo", "P", "P", "Cl"],
  "frac_coords": [[0.000, 0.000, 0.000], [0.500, 0.500, 0.500], [0.000, 0.500, 0.500], [0.500, 0.000, 0.500], [0.500, 0.500, 0.000]]
}


Entry 4:
{
  "formula": "ScAs2Br",
  "functional": "PBE",
  "state": "relaxed",
  "polymorph_energy_mev_per_atom": 712,
  "raw_formation_energy_ev_per_atom": -0.090,
  "crystal_system": "tetragonal",
  "e_tot_ev_per_atom": -4.42,
  "lattice": [[5.147, 0.000, 0.000], [0.000, 5.147, 0.000], [0.000, 0.000, 3.149]],
  "species": ["Sc", "As", "As", "Br"],
  "frac_coords": [[0.000, 0.000, 0.000], [0.000, 0.500, 0.500], [0.500, 0.000, 0.500], [0.500, 0.500, 0.000]]
}


Entry 5:
{
  "formula": "Er12InPd6",
  "functional": "PBE",
  "state": "relaxed",
  "polymorph_energy_mev_per_atom": 0,
  "crystal_system": "cubic",
  "e_tot_ev_per_atom": -5.30,
  "ef_ev_per_atom": -0.637,
  "lattice": [[-4.933, 4.933, 4.933], [4.933, -4.933, 4.933], [4.933, 4.933, -4.933]],
  "species": ["Er", "Er", "Er", "Er", "Er", "Er", "Er", "Er", "Er", "Er", "Er", "Er", "In", "Pd", "Pd", "Pd", "Pd", "Pd", "Pd"],
  "frac_coords": [[0.113, 0.817, 0.296], [0.183, 0.296, 0.479], [0.183, 0.704, 0.887], [0.296, 0.113, 0.817], [0.296, 0.479, 0.183], [0.479, 0.183, 0.296], [0.521, 0.817, 0.704], [0.704, 0.521, 0.817], [0.704, 0.887, 0.183], [0.817, 0.296, 0.113], [0.817, 0.704, 0.521], [0.887, 0.183, 0.704], [0.000, 0.000, 0.000], [0.138, 0.638, 0.500], [0.362, 0.500, 0.862], [0.500, 0.138, 0.638], [0.500, 0.862, 0.362], [0.638, 0.500, 0.138], [0.862, 0.362, 0.500]]
}


Entry 6:
{
  "formula": "La2PrCoSn",
  "functional": "PBE",
  "state": "relaxed",
  "crystal_system": "tetragonal",
  "e_tot_ev_per_atom": -5.55,
  "ef_ev_per_atom": -0.404,
  "lattice": [[5.196, 0.000, 0.000], [0.000, 5.196, 0.000], [0.000, 0.000, 5.496]],
  "species": ["La", "La", "Pr", "Co", "Sn"],
  "frac_coords": [[0.000, 0.500, 0.000], [0.500, 0.000, 0.000], [0.000, 0.000, 0.500], [0.000, 0.000, 0.000], [0.500, 0.500, 0.500]]
}


Entry 7:
{
  "formula": "NiBi6Rh",
  "functional": "PBE",
  "state": "relaxed",
  "polymorph_energy_mev_per_atom": 96,
  "crystal_system": "monoclinic",
  "e_tot_ev_per_atom": -4.55,
  "ef_ev_per_atom": -0.002,
  "lattice": [[3.041, -5.906, 0.000], [3.041, 5.906, 0.000], [-0.019, 0.000, 6.046]],
  "species": ["Ni", "Bi", "Bi", "Bi", "Bi", "Bi", "Bi", "Rh"],
  "frac_coords": [[0.000, 0.000, 0.000], [0.021, 0.356, 0.758], [0.356, 0.021, 0.758], [0.366, 0.366, 0.242], [0.634, 0.634, 0.758], [0.644, 0.979, 0.242], [0.979, 0.644, 0.242], [0.000, 0.000, 0.500]]
}


Entry 8:
{
  "formula": "Sr2CdPb3",
  "functional": "PBE",
  "state": "relaxed",
  "polymorph_energy_mev_per_atom": 0,
  "crystal_system": "monoclinic",
  "e_tot_ev_per_atom": -2.95,
  "ef_ev_per_atom": -0.381,
  "lattice": [[6.164, -2.531, 0.000], [6.164, 2.531, 0.000], [-4.909, 0.000, 6.381]],
  "species": ["Sr", "Sr", "Cd", "Pb", "Pb", "Pb"],
  "frac_coords": [[0.000, 0.000, 0.000], [0.100, 0.100, 0.601], [0.712, 0.712, 0.382], [0.375, 0.375, 0.593], [0.405, 0.405, 0.222], [0.709, 0.709, 0.988]]
}


Entry 9:
{
  "formula": "CuReCl6",
  "functional": "PBE",
  "state": "relaxed",
  "polymorph_energy_mev_per_atom": 33,
  "raw_formation_energy_ev_per_atom": -0.515,
  "crystal_system": "triclinic",
  "e_tot_ev_per_atom": -3.97,
  "lattice": [[6.108, 0.000, 0.000], [3.053, 5.292, 0.000], [0.003, 3.523, 5.512]],
  "species": ["Cu", "Re", "Cl", "Cl", "Cl", "Cl", "Cl", "Cl"],
  "frac_coords": [[0.000, 0.000, 0.000], [0.500, 0.000, 0.500], [0.108, 0.155, 0.256], [0.263, 0.148, 0.744], [0.412, 0.481, 0.256], [0.588, 0.519, 0.744], [0.737, 0.852, 0.256], [0.892, 0.845, 0.744]]
}


Entry 10:
{
  "formula": "TlB3Mo",
  "functional": "PBE",
  "state": "relaxed",
  "polymorph_energy_mev_per_atom": 1747,
  "crystal_system": "cubic",
  "e_tot_ev_per_atom": -3.64,
  "ef_ev_per_atom": 3.003,
  "lattice": [[4.311, 0.000, 0.000], [0.000, 4.311, 0.000], [0.000, 0.000, 4.311]],
  "species": ["Tl", "B", "B", "B", "Mo"],
  "frac_coords": [[0.000, 0.000, 0.000], [0.000, 0.000, 0.500], [0.000, 0.500, 0.000], [0.500, 0.000, 0.000], [0.500, 0.500, 0.500]]
}